! YTc2Ni | Alexandria via LeMat-Bulk | SCAN | single point on PBEsol structure; values from VASP
! ΔE_f, eV per formula unit: 2.5
! Density, g/cm3: 9.3
! Spin magnetization, μB/cell: 0.00
! Symmetry: R-3m, No. 166
! DFT total energy, eV for the cell shown: -111.7
! Energy above the most stable polymorph in this dataset, kJ per mole of atoms: 45.8
&SYSTEM
  ibrav = 0, nat = 4, ntyp = 3
/
ATOMIC_SPECIES
Y 88.91 Y.upf
Tc 98.00 Tc.upf
Ni 58.69 Ni.upf
ATOMIC_POSITIONS crystal
Y 0.000 0.000 0.000
Tc 0.238 0.238 0.238
Tc 0.762 0.762 0.762
Ni 0.500 0.500 0.500
CELL_PARAMETERS angstrom
1.368 0.790 9.460
-1.368 0.790 9.460
0.000 -1.580 9.460